AcPuSi after structural relaxation. Source: the Alexandria database, functional PBE.

Computed properties:
ρ in g/cm³: 10.0
N(E_F) in states/eV per atom: 2.460
Raw total energy in eV/atom: -8.113
E above lowest polymorph in meV/atom: 227.5
ΔE_f (raw) in eV per atom: -0.16

The structure in CIF format:
```
data_AcPuSi
_space_group_name_H-M_alt 'P 1'
_space_group_IT_number 1
_space_group_name_Hall 'P 1'
_cell_length_a 3.868
_cell_length_b 3.868
_cell_length_c 11.081
_cell_angle_alpha 90.00
_cell_angle_beta 90.00
_cell_angle_gamma 90.00
loop_
_atom_site_label
_atom_site_type_symbol
_atom_site_fract_x
_atom_site_fract_y
_atom_site_fract_z
Ac1 Ac 0.000 0.000 0.000
Ac2 Ac 0.500 0.500 0.500
Pu1 Pu 0.000 0.000 0.722
Pu2 Pu 0.500 0.500 0.222
Si1 Si 0.000 0.000 0.332
Si2 Si 0.500 0.500 0.832
```